La5YGe4 (PBE, optimized geometry); ΔH_f (0 K) = -652 meV/atom
1.0
8.059 -2.591 0.000
8.059 2.591 0.000
-0.168 0.000 7.123
La Y Ge
5 1 4
Cartesian
0.000 0.000 0.000
5.293 0.000 3.487
5.257 0.000 7.121
10.693 0.000 0.002
10.656 0.000 3.635
-0.084 0.000 3.561
2.683 0.000 5.339
7.800 0.000 5.243
8.149 0.000 1.880
13.266 0.000 1.783